A plane-wave DFT calculation with GGA-PBE was carried out for a relaxed Cu3Bi4I16 crystal.

abc: 15.464 8.705 15.634
angles: 90.00 105.84 90.00
Space group Cm (No. 8)
One atom of each set of equivalent atoms:
Cu 0.000 0.000 0.000 x2
Cu 0.012 0.500 0.018 x2
Cu 0.174 0.500 0.243 x2
Bi 0.051 0.000 0.712 x2
Bi 0.056 0.253 0.448 x4
Bi 0.299 0.000 0.939 x2
I 0.170 0.242 0.316 x4
I 0.172 0.000 0.069 x2
I 0.181 0.000 0.566 x2
I 0.182 0.500 0.086 x2
I 0.182 0.500 0.561 x2
I 0.184 0.248 0.822 x4
I 0.427 0.500 0.826 x2
I 0.429 0.000 0.341 x2
I 0.431 0.500 0.339 x2
I 0.434 0.252 0.062 x4
I 0.444 0.000 0.842 x2
I 0.444 0.246 0.592 x4

Summary:
Fermi-level density of states	28.4	states/eV per cell
density	5014	kg/m³
total magnetic moment	0.0	μB per formula unit
energy relative to the elements, uncorrected	-331	meV/atom

***

A plane-wave DFT calculation with GGA-PBE was carried out for a relaxed CuBi2I crystal.

abc: 6.779 6.779 13.092
angles: 90.00 90.00 90.00
Space group I-42d (No. 122)
One atom of each set of equivalent atoms:
Cu 0.000 0.000 0.000 x4
Bi 0.155 0.250 0.125 x8
I 0.000 0.000 0.500 x4

Summary:
Fermi-level density of states	9.3	states/eV per cell
density	6717	kg/m³
total magnetic moment	0.0	μB per formula unit
energy relative to the elements, uncorrected	349	meV/atom
relative energy among the computed polymorphs	0.00	kcal/mol of atoms